# LiNd5In5

A relaxed LiNd5In5 crystal (PBE-GGA, Alexandria).

* spin magnetization: 0.93 μB per formula unit
* total energy: -3.83 eV/atom

a = 17.415 Å, b = 5.665 Å, c = 7.105 Å
α = 90.00°, β = 111.06°, γ = 90.00°
Space group C2/m (No. 12)
Unique sites:
Li 0.000 0.000 0.000 (multiplicity 2)
Nd 0.000 0.000 0.500 (multiplicity 2)
Nd 0.137 0.500 0.666 (multiplicity 4)
Nd 0.198 0.500 0.214 (multiplicity 4)
In 0.000 0.500 0.000 (multiplicity 2)
In 0.154 0.000 0.946 (multiplicity 4)
In 0.155 0.000 0.371 (multiplicity 4)